Entry 1:
Entry from the Alexandria database: crystalline YTc2W at its relaxed geometry (GGA-PBE).

```
data_YTc2W
_symmetry_space_group_name_H-M 'P m m 2'
_symmetry_Int_Tables_number 25
_cell_length_a 3.016
_cell_length_b 4.213
_cell_length_c 5.941
_cell_angle_alpha 90.00
_cell_angle_beta 90.00
_cell_angle_gamma 90.00
loop_
_symmetry_equiv_pos_as_xyz
'x,y,z'
'-x,-y,z'
'-x,y,z'
'x,-y,z'
loop_
_atom_site_label
_atom_site_fract_x
_atom_site_fract_y
_atom_site_fract_z
Y1 0.000 0.000 0.000
Tc1 0.000 0.000 0.501
Tc2 0.500 0.500 0.242
W1 0.500 0.500 0.634
```

Magnetization = 0.000 μB/atom
Density of states at the Fermi level = 4.98 states/eV/cell
Energy = -0.352 Ha/atom

***

Entry 2:
Entry from the Alexandria database: crystalline NaLi2IBr6 at its relaxed geometry (GGA-PBE).

```
data_NaLi2IBr6
_symmetry_space_group_name_H-M 'P 1'
_symmetry_Int_Tables_number 1
_cell_length_a 7.190
_cell_length_b 7.614
_cell_length_c 7.658
_cell_angle_alpha 81.03
_cell_angle_beta 67.04
_cell_angle_gamma 69.33
loop_
_symmetry_equiv_pos_as_xyz
'x,y,z'
loop_
_atom_site_label
_atom_site_fract_x
_atom_site_fract_y
_atom_site_fract_z
Na1 0.000 0.000 0.000
Li1 0.437 0.412 0.926
Li2 0.440 0.855 0.278
I1 0.961 0.582 0.609
Br1 0.172 0.316 0.835
Br2 0.174 0.816 0.618
Br3 0.371 0.721 0.047
Br4 0.539 0.145 0.147
Br5 0.759 0.848 0.411
Br6 0.762 0.350 0.598
```

Magnetization = 0.000 μB/atom
Uncorrected formation energy = -8.9 eV/f.u.
Density of states at the Fermi level = 0.00 states/eV/cell
Energy = -0.094 Ha/atom

***

Entry 3:
Entry from the Alexandria database: crystalline Rb2Pa2Te5 at its relaxed geometry (GGA-PBE).

```
data_Rb2Pa2Te5
_symmetry_space_group_name_H-M 'C 1 2/m 1'
_symmetry_Int_Tables_number 12
_cell_length_a 16.349
_cell_length_b 6.104
_cell_length_c 8.949
_cell_angle_alpha 90.00
_cell_angle_beta 111.05
_cell_angle_gamma 90.00
loop_
_symmetry_equiv_pos_as_xyz
'x,y,z'
'-x,-y,-z'
'-x,y,-z'
'x,-y,z'
'x+1/2,y+1/2,z'
'-x+1/2,-y+1/2,-z'
'-x+1/2,y+1/2,-z'
'x+1/2,-y+1/2,z'
loop_
_atom_site_label
_atom_site_fract_x
_atom_site_fract_y
_atom_site_fract_z
Rb1 0.109 0.000 0.318
Pa1 0.155 0.500 0.891
Te1 0.000 0.500 0.000
Te2 0.145 0.500 0.567
Te3 0.151 0.000 0.905
```

Magnetization = 0.224 μB/atom
Uncorrected formation energy = -6.9 eV/f.u.
Relative energy among the computed polymorphs = 214 meV/atom
Density of states at the Fermi level = 18.11 states/eV/cell
Energy = -0.178 Ha/atom

***

Entry 4:
Entry from the Alexandria database: crystalline SrDyAgAu at its relaxed geometry (GGA-PBE).

```
data_SrDyAgAu
_symmetry_space_group_name_H-M 'F -4 3 m'
_symmetry_Int_Tables_number 216
_symmetry_space_group_name_Hall 'F -4 2 3'
_cell_length_a 7.447
_cell_length_b 7.447
_cell_length_c 7.447
_cell_angle_alpha 90.00
_cell_angle_beta 90.00
_cell_angle_gamma 90.00
loop_
_atom_site_label
_atom_site_fract_x
_atom_site_fract_y
_atom_site_fract_z
Sr1 0.000 0.000 0.000
Dy1 0.000 0.000 0.500
Ag1 0.250 0.250 0.750
Au1 0.250 0.250 0.250
```

Magnetization = 0.000 μB/atom
Density of states at the Fermi level = 12.42 states/eV/cell
Energy = -0.131 Ha/atom